# LiMoNF2 (PBE+U, relaxed)
data_LiMoNF2
_cell_length_a 4.238
_cell_length_b 4.238
_cell_length_c 3.977
_cell_angle_alpha 90.00
_cell_angle_beta 90.00
_cell_angle_gamma 90.00
_space_group_name_H-M_alt 'P 4/m m m'
_space_group_IT_number 123
_space_group_name_Hall '-P 4 2'
loop_
_atom_site_label
_atom_site_type_symbol
_atom_site_fract_x
_atom_site_fract_y
_atom_site_fract_z
Li1 Li 0.000 0.000 0.000
Mo1 Mo 0.500 0.500 0.500
N1 N 0.500 0.500 0.000
F1 F 0.000 0.500 0.500
# ΔE to the lowest computed polymorph, meV/atom: 0
# Size of the total moment, μB/f.u.: 2.00
# N(E_F), states/eV/atom: 0.059